[1]
This record from Alexandria describes PrDyThMg after structural relaxation. The functional is PBE-GGA.

```
PrDyThMg
1.0
-1.671 -2.609 1.883
3.165 -1.716 0.431
1.499 4.750 7.913
Pr Dy Th Mg
1 1 1 1
Direct
0.000 0.000 0.079
0.000 0.000 0.561
0.500 0.500 0.814
0.500 0.500 0.330
```

Calculated values
Symmetry: P4mm, No. 99

---

[2]
This record from Alexandria describes PrDyThMg after structural relaxation. The functional is PBE-GGA.

```
PrDyThMg
1.0
-1.107 3.895 -3.856
-4.880 2.729 0.103
-0.154 5.400 1.445
Pr Mg Th Dy
1 1 1 1
Direct
0.750 0.750 0.750
0.000 0.000 0.000
0.500 0.500 0.500
0.250 0.250 0.250
```

Calculated values
Symmetry: F-43m, No. 216

---

Number 1: relative energy among the computed polymorphs 0.0000 eV/atom. Number 2: relative energy among the computed polymorphs 0.1991 eV/atom.